A relaxed La6NdYHo2 crystal, computed with PBE.

As for the density: 6.596 g/cm³. The calculation puts the total magnetization at 0.000 Bohr magnetons per cell. The calculated formation energy is 0.1108 eV per atom. As for the density of states at the Fermi level: 48.812 states/eV per cell.

The space group is C2/c (No. 15) and the conventional cell measures 9.770, 15.375 and 9.389 Å, with angles of 90.00, 94.37 and 90.00 degrees. The inequivalent atoms are La at (0.075, 0.156, 0.423), La at (0.080, 0.368, 0.608), La at (0.236, 0.221, 0.820), Nd at (0.000, 0.417, 0.250), Y at (0.000, 0.053, 0.750) and Ho at (0.246, 0.045, 0.062).